<A>
A relaxed KZrAu3S4 crystal. Source: OQMD, functional PBE.

Summary:
theoretical density = 5.864 g cm⁻³
magnetization = 0.00 μB per atom

Cell lengths 6.2191, 6.2191, 6.2191 Å; angles 90.00, 90.00, 90.00 degrees
Space group P-43m (No. 215)
Symmetry-distinct sites (fractional):
1 K 0.0000 0.0000 0.0000
2 Zr 0.5000 0.5000 0.5000
3 Au 0.0000 0.5000 0.5000
4 S 0.2744 0.2744 0.2744

<B>
A relaxed KZrAu3S4 crystal. Source: OQMD, functional PBE.

Summary:
theoretical density = 6.211 g cm⁻³
magnetization = 0.00 μB per atom

Cell lengths 6.1261, 7.7020, 10.0471 Å; angles 90.00, 106.62, 90.00 degrees
Space group P2_1/m (No. 11)
Symmetry-distinct sites (fractional):
1 K 0.2151 0.2500 0.3770
2 Zr 0.1286 0.2500 0.7982
3 Au 0.2896 0.5597 0.0133
4 Au 0.4177 0.7500 0.2756
5 S 0.0686 0.2500 0.0365
6 S 0.1733 0.7500 0.4206
7 S 0.3461 0.5080 0.7663

It is <B> that is the least stable of them.

<A>
A relaxed KZrTeAuSe2 crystal. Source: OQMD, functional PBE.

Summary:
theoretical density = 6.073 g cm⁻³
magnetization = 0.00 μB per atom

Cell lengths 8.5353, 4.0224, 10.4779 Å; angles 90.00, 111.31, 90.00 degrees
Space group P2_1/m (No. 11)
Symmetry-distinct sites (fractional):
1 K 0.2358 0.2500 0.2558
2 Zr 0.3120 0.7500 0.8384
3 Te 0.2841 0.7500 0.5547
4 Au 0.0807 0.2500 0.6082
5 Se 0.1036 0.2500 0.8625
6 Se 0.4504 0.7500 0.1235

<B>
A relaxed KZrTeAuSe2 crystal. Source: OQMD, functional PBE.

Summary:
theoretical density = 5.884 g cm⁻³
magnetization = 0.00 μB per atom

Cell lengths 8.6317, 4.0696, 10.5716 Å; angles 90.00, 111.33, 90.00 degrees
Space group P2_1/m (No. 11)
Symmetry-distinct sites (fractional):
1 K 0.2398 0.2500 0.2968
2 Zr 0.2924 0.7500 0.8202
3 Te 0.4382 0.7500 0.1289
4 Au 0.0813 0.2500 0.6048
5 Se 0.0989 0.2500 0.8543
6 Se 0.2678 0.7500 0.5622

It is <B> that is the least stable of them.

<A>
A relaxed KYAuSe3 crystal. Source: OQMD, functional PBE.

Summary:
theoretical density = 5.562 g cm⁻³
magnetization = 0.03 μB per atom

Cell lengths 4.0860, 15.3330, 10.7089 Å; angles 90.00, 90.00, 90.00 degrees
Space group Cmcm (No. 63)
Symmetry-distinct sites (fractional):
1 K 0.0000 0.2435 0.2500
2 Y 0.0000 0.0000 0.0000
3 Au 0.0000 0.4672 0.7500
4 Se 0.0000 0.0782 0.7500
5 Se 0.0000 0.3706 0.5515

<B>
A relaxed KYAuSe3 crystal. Source: OQMD, functional PBE.

Summary:
theoretical density = 5.388 g cm⁻³
magnetization = 0.00 μB per atom

Cell lengths 15.3014, 4.1064, 11.0228 Å; angles 90.00, 90.00, 90.00 degrees
Space group Pnma (No. 62)
Symmetry-distinct sites (fractional):
1 K 0.2352 0.2500 0.0479
2 Y 0.0207 0.2500 0.3411
3 Au 0.0121 0.7500 0.1048
4 Se 0.0939 0.7500 0.8797
5 Se 0.0970 0.2500 0.5755
6 Se 0.1401 0.7500 0.2577

It is <B> that is the least stable of them.

<A>
A relaxed KSn2Au2 crystal. Source: OQMD, functional PBE.

Summary:
theoretical density = 7.981 g cm⁻³

Cell lengths 4.9981, 4.9981, 11.1687 Å; angles 90.00, 90.00, 90.00 degrees
Space group I4/mmm (No. 139)
Symmetry-distinct sites (fractional):
1 K 0.0000 0.0000 0.0000
2 Sn 0.0000 0.0000 0.3630
3 Au 0.0000 0.5000 0.2500

<B>
A relaxed KSn2Au2 crystal. Source: OQMD, functional PBE.

Summary:
theoretical density = 8.100 g cm⁻³

Cell lengths 4.8818, 4.8818, 11.5348 Å; angles 90.00, 90.00, 90.00 degrees
Space group I4/mmm (No. 139)
Symmetry-distinct sites (fractional):
1 K 0.0000 0.0000 0.0000
2 Sn 0.0000 0.5000 0.2500
3 Au 0.0000 0.0000 0.3766

It is <B> that is the least stable of them.